Th2HgSe4 after structural relaxation, computed with PBE-GGA.

Results
volume: 358 Å³ per cell
formation energy from raw total energies: -1.18 eV/atom
uncorrected energy: -5.33 eV per atom

Cell lengths 6.9095, 6.9095, 7.5084 Å; angles 90.00, 90.00, 90.00 degrees
Space group I4mm (No. 107)
One atom of each set of equivalent atoms:
Th (0.0000, 0.5000, 0.0000)
Hg (0.0000, 0.0000, 0.4983)
Se (0.2500, 0.2500, 0.2497)